Crystalline VP2O7 at its relaxed geometry, computed with GGA+U.

Structure (CIF):
```
data_VP2O7
_chemical_formula_sum 'V2 P4 O14'
_space_group_name_H-M_alt 'P 1 21 1'
_space_group_IT_number 4
_cell_length_a 4.878
_cell_length_b 8.080
_cell_length_c 6.941
_cell_angle_alpha 90.00
_cell_angle_beta 105.51
_cell_angle_gamma 90.00
loop_
_space_group_symop_operation_xyz
'x,y,z'
'-x,y+1/2,-z'
loop_
_atom_site_label
_atom_site_type_symbol
_atom_site_fract_x
_atom_site_fract_y
_atom_site_fract_z
_atom_site_occupancy
V1 V 0.212 0.000 0.227 1
P1 P 0.242 0.731 0.604 1
P2 P 0.388 0.317 0.009 1
O1 O 0.016 0.171 0.326 1
O2 O 0.141 0.833 0.415 1
O3 O 0.149 0.443 0.967 1
O4 O 0.281 0.139 0.014 1
O5 O 0.416 0.860 0.771 1
O6 O 0.422 0.830 0.136 1
O7 O 0.436 0.586 0.587 1
```

## Properties
Density   2.83 g/cm3
Polymorph energy (0 for the lowest one)   2 meV per atom